A plane-wave DFT calculation with PBE was carried out for a relaxed structure of CuNi2Os.

Cell lengths 3.5553, 3.6996, 3.6996 Å; angles 90.00, 90.00, 90.00 degrees
Closest atoms and distances in Å follow each position.
Fractional coordinates of all 4 atoms:
Cu 0.5000 0.0000 0.5000  8 Ni 2.57, 4 Os 2.62
Os 0.5000 0.5000 0.0000  8 Ni 2.57, 4 Cu 2.62
Ni 0.0000 0.5000 0.5000  4 Os 2.57, 4 Cu 2.57, 4 Ni 2.62
Ni 0.0000 0.0000 0.0000  4 Cu 2.57, 4 Os 2.57, 4 Ni 2.62

## Properties
- N(E_F): 6.1 states/eV/f.u.
- Calculated total energy: -6.394 eV/atom
- Formation enthalpy at 0 K: 0.3283 eV per atom
- Magnetic moment: 2.369 μB per cell
- E above lowest polymorph: 237 meV per atom
- SG: No. 123

A plane-wave DFT calculation with PBE was carried out for a relaxed structure of FePb.

Cell lengths 7.9078, 7.9078, 7.9078 Å; angles 90.00, 90.00, 90.00 degrees
Closest atoms and distances in Å follow each position.
Fractional coordinates of all 16 atoms:
Pb 0.2910 0.2910 0.2910  4 Fe 2.56-2.74
Fe 0.8956 0.1044 0.8956  3 Fe 2.33, 1 Pb 2.56
Pb 0.7910 0.7910 0.7910  4 Fe 2.56-2.74
Fe 0.3956 0.6044 0.3956  3 Fe 2.33, 1 Pb 2.56
Pb 0.7090 0.2910 0.7090  4 Fe 2.56-2.74
Fe 0.6044 0.6044 0.6044  3 Fe 2.33, 1 Pb 2.56
Pb 0.2910 0.7090 0.7090  4 Fe 2.56-2.74
Fe 0.3956 0.3956 0.6044  3 Fe 2.33, 1 Pb 2.56
Pb 0.7090 0.7090 0.2910  4 Fe 2.56-2.74
Fe 0.1044 0.1044 0.1044  3 Fe 2.33, 1 Pb 2.56
Pb 0.2090 0.7910 0.2090  4 Fe 2.56-2.74
Fe 0.8956 0.8956 0.1044  3 Fe 2.33, 1 Pb 2.56
Pb 0.7910 0.2090 0.2090  4 Fe 2.56-2.74
Fe 0.6044 0.3956 0.3956  3 Fe 2.33, 1 Pb 2.56
Pb 0.2090 0.2090 0.7910  4 Fe 2.56-2.74
Fe 0.1044 0.8956 0.8956  3 Fe 2.33, 1 Pb 2.56

## Properties
- N(E_F): 1.4 states/eV/f.u.
- Calculated total energy: -5.441 eV/atom
- Formation enthalpy at 0 K: 0.6441 eV per atom
- Magnetic moment: 15.493 μB per cell
- SG: No. 217

What is the calculated total energy in the first record? -6.394 eV/atom